DFT (PBE-GGA) results for a relaxed Sr4InHg5 crystal.

VASP energy = -1.56 eV per atom
volume = 305 Å³ per cell
D(E_F) = 6.74 states/eV/cell
calculated formation energy = -459 meV per atom

Cell: 3.9598 3.9598 19.4627 Å, 90.00 90.00 90.00°
Last column: nearest neighbours and their distance in Å.
Atoms (fractional coordinates):
In (0.0000, 0.0000, 0.0000)  8 Hg 3.27, 2 Sr 3.64
Sr (0.0000, 0.0000, 0.1871)  8 Hg 3.41-3.45, 1 In 3.64
Sr (0.0000, 0.0000, 0.3954)  8 Hg 3.46
Sr (0.0000, 0.0000, 0.6046)  8 Hg 3.46
Sr (0.0000, 0.0000, 0.8129)  8 Hg 3.41-3.45, 1 In 3.64
Hg (0.5000, 0.5000, 0.7093)  8 Sr 3.45-3.46
Hg (0.5000, 0.5000, 0.5000)  8 Sr 3.46
Hg (0.5000, 0.5000, 0.2907)  8 Sr 3.45-3.46
Hg (0.5000, 0.5000, 0.0867)  4 In 3.27, 1 Hg 3.38, 4 Sr 3.41
Hg (0.5000, 0.5000, 0.9133)  4 In 3.27, 1 Hg 3.38, 4 Sr 3.41

DFT (PBE-GGA) results for a relaxed SrIn7Hg12 crystal.

excess energy over the best structure of this formula in the dataset = 101 meV per atom
VASP energy = -1.17 eV per atom
volume = 657 Å³ per cell
D(E_F) = 11.80 states/eV/cell
calculated formation energy = 57 meV per atom

Cell: 9.4835 9.4835 9.4835 Å, 109.47 109.47 109.47°
Last column: nearest neighbours and their distance in Å.
Atoms (fractional coordinates):
Hg (0.2786, 0.8420, 0.1207)  3 In 2.93-2.98
Hg (0.7214, 0.8420, 0.5634)  3 In 2.93-2.98
Hg (0.2786, 0.1580, 0.4366)  3 In 2.93-2.98
Hg (0.5634, 0.7214, 0.8420)  3 In 2.93-2.98
Hg (0.1207, 0.2786, 0.8420)  3 In 2.93-2.98
Hg (0.8420, 0.5634, 0.7214)  3 In 2.93-2.98
Hg (0.8420, 0.1207, 0.2786)  3 In 2.93-2.98
Hg (0.1580, 0.8793, 0.7214)  3 In 2.93-2.98
Hg (0.1580, 0.4366, 0.2786)  3 In 2.93-2.98
Hg (0.4366, 0.2786, 0.1580)  3 In 2.93-2.98
Hg (0.8793, 0.7214, 0.1580)  3 In 2.93-2.98
Hg (0.7214, 0.1580, 0.8793)  3 In 2.93-2.98
In (0.5000, 0.0000, 0.5000)  4 Hg 2.98
In (0.5000, 0.0000, 0.0000)  6 Hg 2.93
In (0.5000, 0.5000, 0.5000)  6 Hg 2.93
In (0.0000, 0.5000, 0.0000)  6 Hg 2.93
In (0.5000, 0.5000, 0.0000)  4 Hg 2.98
In (0.0000, 0.5000, 0.5000)  4 Hg 2.98
In (0.0000, 0.0000, 0.5000)  6 Hg 2.93
Sr (0.0000, 0.0000, 0.0000)  12 Hg 3.51

DFT (PBE-GGA) results for a relaxed SrInHg3 crystal.

excess energy over the best structure of this formula in the dataset = 0 meV per atom
VASP energy = -1.37 eV per atom
volume = 563 Å³ per cell
D(E_F) = 8.44 states/eV/cell
calculated formation energy = -305 meV per atom

Cell: 7.2178 9.0228 8.9376 Å, 104.70 90.00 90.00°
Last column: nearest neighbours and their distance in Å.
Atoms (fractional coordinates):
In (0.7968, 0.0250, 0.9734)  4 Hg 2.98-3.10, 1 In 3.02
In (0.2968, 0.9750, 0.5266)  4 Hg 2.98-3.10, 1 In 3.02
In (0.2032, 0.9750, 0.0266)  4 Hg 2.98-3.10, 1 In 3.02
In (0.7032, 0.0250, 0.4734)  4 Hg 2.98-3.10, 1 In 3.02
Sr (0.4958, 0.2672, 0.2536)  9 Hg 3.41-3.61, 3 In 3.58-3.61
Sr (0.9958, 0.7328, 0.2464)  9 Hg 3.41-3.61, 3 In 3.58-3.61
Sr (0.0042, 0.2672, 0.7536)  9 Hg 3.41-3.61, 3 In 3.58-3.61
Sr (0.5042, 0.7328, 0.7464)  9 Hg 3.41-3.61, 3 In 3.58-3.61
Hg (0.7980, 0.5249, 0.4732)  5 Hg 3.01-3.18
Hg (0.4415, 0.1426, 0.8526)  3 In 2.98-3.10, 2 Hg 3.00-3.18
Hg (0.0585, 0.1426, 0.3526)  3 In 2.98-3.10, 2 Hg 3.00-3.18
Hg (0.5585, 0.8574, 0.1474)  3 In 2.98-3.10, 2 Hg 3.00-3.18
Hg (0.2980, 0.4751, 0.0268)  5 Hg 3.01-3.18
Hg (0.4454, 0.6565, 0.3532)  4 Hg 3.00-3.15, 1 In 3.09
Hg (0.7020, 0.5249, 0.9732)  5 Hg 3.01-3.18
Hg (0.9415, 0.8574, 0.6474)  3 In 2.98-3.10, 2 Hg 3.00-3.18
Hg (0.5546, 0.3435, 0.6468)  4 Hg 3.00-3.15, 1 In 3.09
Hg (0.0546, 0.6565, 0.8532)  4 Hg 3.00-3.15, 1 In 3.09
Hg (0.9454, 0.3435, 0.1468)  4 Hg 3.00-3.15, 1 In 3.09
Hg (0.2020, 0.4751, 0.5268)  5 Hg 3.01-3.18